Material: NiHg2Br
Method: DFT, PBE
State: relaxed

Unit cell a=2.843 b=3.552 c=9.076 alpha=90.00 beta=90.00 gamma=90.00
Fractional coordinates of all 4 atoms:
Ni 0.000 0.000 0.000
Hg 0.500 0.500 0.175
Hg 0.500 0.500 0.825
Br 0.000 0.000 0.500

Values from the calculation:
Offset from the most stable computed form (eV/f.u.): 0.63
Crystal system: orthorhombic
N(E_F) (states/eV per atom): 0.350
Total magnetic moment (μB per cell): 0.00
Calculated volume (Å³ per atom): 22.9